32
Lattice="5.931 0.000 0.000 0.000 7.653 -4.418 0.000 0.000 8.837" Properties=species:S:1:pos:R:3 comment="CeGa3H12 (PBE, relaxed)" e_tot_ev_per_atom=-3.489 pbc="T T T"
H 4.448 7.647 -2.894
H 5.718 4.105 4.292
H 5.718 1.884 5.827
H 1.483 3.867 6.284
H 1.483 0.006 7.313
H 0.212 5.769 -1.409
H 0.212 3.548 0.126
H 4.448 1.323 -0.757
H 3.177 1.884 5.827
H 4.448 6.336 3.651
H 3.177 4.105 4.292
H 1.483 3.509 2.345
H 2.753 5.769 -1.409
H 3.177 1.665 3.136
H 0.212 5.988 1.282
H 5.718 1.665 3.136
H 4.448 7.376 -0.207
H 2.753 3.548 0.126
H 4.448 3.785 -1.866
H 1.483 1.317 0.767
H 1.483 0.277 4.626
H 2.753 5.988 1.282
H 1.483 6.330 5.175
H 4.448 4.144 2.073
Ga 1.483 2.864 0.854
Ga 4.448 0.693 2.907
Ga 1.483 5.482 -2.365
Ga 4.448 2.171 6.783
Ga 1.483 6.960 1.511
Ga 4.448 4.789 3.565
Ce 1.483 2.551 4.418
Ce 4.448 5.102 0.000

***

12
Lattice="-1.540 3.037 2.723 -4.299 -1.866 -4.458 -1.439 -3.159 2.710" Properties=species:S:1:pos:R:3 comment="CeGaH4 (PBE, relaxed)" e_tot_ev_per_atom=-4.000 pbc="T T T"
H -2.611 -1.465 0.366
H -4.109 -0.552 2.542
H -4.666 -0.524 0.608
H -3.168 -1.437 -1.568
H -1.939 0.011 -0.899
H -5.053 -0.822 -1.852
H -5.338 -1.999 1.874
H -2.225 -1.166 2.827
Ga -1.762 -2.399 1.636
Ga -5.516 0.410 -0.661
Ce -2.667 0.734 1.229
Ce -4.610 -2.723 -0.254

***

14
Lattice="6.595 0.000 0.000 3.297 5.711 0.000 3.297 1.904 7.130" Properties=species:S:1:pos:R:3 comment="Ce3GaH3 (PBE, relaxed)" e_tot_ev_per_atom=-4.727 pbc="T T T"
Ce 5.397 1.911 5.113
Ce 4.353 3.896 2.016
Ce 7.639 1.822 2.016
Ce 8.837 3.719 5.113
Ce 5.551 5.793 5.113
Ce 7.793 5.705 2.016
Ga 9.892 5.711 7.125
Ga 3.297 1.904 0.004
H 7.586 1.897 4.350
H 5.436 1.994 2.779
H 5.604 5.718 2.779
H 8.745 3.711 2.779
H 4.445 3.905 4.350
H 7.754 5.621 4.350

***

5
Lattice="-3.379 1.918 2.087 0.008 -3.241 2.991 2.835 2.295 2.480" Properties=species:S:1:pos:R:3 comment="CeGa3H (PBE, relaxed)" e_tot_ev_per_atom=-3.840 pbc="T T T"
H 0.000 0.000 0.000
Ce -0.268 0.486 3.779
Ga 1.417 1.148 1.240
Ga -1.690 0.959 1.044
Ga 0.004 -1.621 1.496

***

9
Lattice="4.574 0.000 2.641 1.525 4.312 2.641 0.000 0.000 5.282" Properties=species:S:1:pos:R:3 comment="CeGa2H6 (PBE, relaxed)" relative_energy_mev_per_atom=608 e_tot_ev_per_atom=-3.054 pbc="T T T"
H 2.392 3.086 6.420
H 4.364 3.086 5.282
H 3.707 1.227 4.143
H 3.707 1.227 6.420
H 1.735 1.227 5.282
H 2.392 3.086 4.143
Ga 1.525 1.078 2.641
Ga 4.574 3.234 7.922
Ce 0.000 0.000 0.000

***

6
Lattice="4.069 -0.014 -0.516 2.011 3.536 -0.525 -1.083 -0.608 7.804" Properties=species:S:1:pos:R:3 comment="CeGaH (PBE, relaxed)" relative_energy_mev_per_atom=108 e_tot_ev_per_atom=-4.595 pbc="T T T"
Ga 1.927 -0.051 7.073
Ga 3.070 2.965 -0.310
H 1.580 2.112 4.284
H 3.417 0.802 2.478
Ce 3.710 0.978 4.811
Ce 1.287 1.936 1.951

***

12
Lattice="-2.294 -4.224 -1.798 -1.156 -2.000 6.176 -5.625 3.364 -0.727" Properties=species:S:1:pos:R:3 comment="Ce3GaH2 (PBE, relaxed)" e_tot_ev_per_atom=-4.977 pbc="T T T"
Ce -5.517 1.490 -0.124
Ce -3.558 -4.351 3.775
Ce -5.875 -2.912 3.352
Ce -5.888 0.592 2.459
Ce -3.199 0.051 0.299
Ce -3.187 -3.453 1.192
Ga -3.232 -1.253 3.406
Ga -5.843 -1.607 0.245
H -2.101 -1.920 -0.132
H -5.827 1.172 4.682
H -6.974 -0.940 3.783
H -0.954 0.192 0.766

***

3
Lattice="-3.804 1.993 -1.649 -2.092 -2.836 1.398 0.690 3.068 2.117" Properties=species:S:1:pos:R:3 comment="CeGaH (PBE, relaxed)" relative_energy_mev_per_atom=302 e_tot_ev_per_atom=-4.402 pbc="T T T"
Ga -3.699 0.460 0.539
H -0.874 1.433 1.602
Ce -0.633 0.332 -0.274

***

4
Lattice="4.300 0.000 0.000 2.150 3.724 0.000 2.150 1.241 5.038" Properties=species:S:1:pos:R:3 comment="Ce2GaH (PBE, relaxed)" relative_energy_mev_per_atom=149 e_tot_ev_per_atom=-4.761 pbc="T T T"
Ga 0.000 0.000 0.000
Ce 2.150 1.241 1.655
Ce 6.450 3.724 3.383
H 4.300 2.483 2.519

***

18
Lattice="-3.760 3.592 -2.636 -1.934 -5.407 1.004 0.794 2.619 6.077" Properties=species:S:1:pos:R:3 comment="CeGa2H6 (PBE, relaxed)" relative_energy_mev_per_atom=0 e_tot_ev_per_atom=-3.662 pbc="T T T"
H -3.079 0.197 -0.959
H -3.989 -0.031 3.065
H -1.238 -1.916 1.443
H -3.086 3.725 3.006
H -2.328 -1.645 4.943
H -2.883 -0.539 1.163
H -0.490 0.969 1.500
H -2.949 3.597 0.682
H -0.922 1.693 3.596
H -2.731 1.748 1.981
H -1.688 0.650 5.442
H -1.632 1.927 -0.067
Ce -3.045 -2.183 2.831
Ce -1.051 -0.335 -0.301
Ga -3.970 -2.751 -0.636
Ga -4.018 0.799 1.463
Ga -3.734 2.661 4.278
Ga -0.838 0.019 2.994

***

3
Lattice="3.109 0.000 0.000 0.000 3.109 0.000 -1.554 -1.554 5.431" Properties=species:S:1:pos:R:3 comment="CeGaH (PBE, relaxed)" relative_energy_mev_per_atom=454 e_tot_ev_per_atom=-4.250 pbc="T T T"
Ga 1.554 1.554 5.431
Ce 0.000 0.000 3.097
H 1.554 1.554 2.334

***

10
Lattice="4.287 0.000 0.000 -2.143 5.599 0.890 0.000 -1.378 8.206" Properties=species:S:1:pos:R:3 comment="Ce2Ga2H (PBE, relaxed)" e_tot_ev_per_atom=-4.807 pbc="T T T"
Ce 2.143 1.464 1.364
Ce 0.000 2.757 7.732
Ce 0.000 3.391 3.745
Ce 2.143 0.829 5.351
Ga 0.000 0.210 3.165
Ga 2.143 4.011 5.931
Ga 2.143 4.621 1.745
Ga 0.000 -0.401 7.351
H 0.000 1.866 5.550
H 2.143 2.354 3.546

***

12
Lattice="-2.168 3.123 3.057 -0.748 -0.459 4.799 6.947 1.927 -1.702" Properties=species:S:1:pos:R:3 comment="CeGaH8Ir2 (PBE, relaxed)" e_tot_ev_per_atom=-4.664 pbc="T T T"
Ga 0.000 0.000 0.000
H 4.204 2.541 3.835
H 4.696 2.209 0.714
H -0.664 2.382 5.440
H -0.173 2.050 2.319
H 3.641 3.963 3.144
H 2.673 1.981 1.894
H 1.358 2.610 4.260
H 0.391 0.628 3.010
Ce 3.474 0.964 -0.851
Ir -0.106 1.876 3.945
Ir 4.138 2.715 2.209

***

12
Lattice="4.305 0.000 0.000 -2.152 3.728 0.000 0.000 0.000 6.633" Properties=species:S:1:pos:R:3 comment="CeGaNi4H6 (PBE, relaxed)" e_tot_ev_per_atom=-4.653 pbc="T T T"
H -1.076 1.864 4.393
H 1.076 1.864 4.393
H 2.152 0.000 2.240
H 1.076 1.864 2.240
H 2.152 0.000 4.393
H -1.076 1.864 2.240
Ni 0.000 2.485 5.429
Ni 0.000 2.485 1.203
Ni 2.152 1.243 5.429
Ni 2.152 1.243 1.203
Ga 0.000 0.000 0.000
Ce 0.000 0.000 3.316

***

4
Lattice="-2.061 3.779 -0.771 -1.370 -2.620 3.223 2.172 1.646 2.261" Properties=species:S:1:pos:R:3 comment="CeGaNiH (PBE, relaxed)" e_tot_ev_per_atom=-5.070 pbc="T T T"
Ce -0.703 2.295 0.723
Ga -1.217 2.631 3.745
Ni 0.613 0.985 3.186
H -0.473 0.161 2.054

***

10
Lattice="-3.879 0.990 0.077 1.180 -3.124 -4.507 -1.331 -5.483 3.451" Properties=species:S:1:pos:R:3 comment="CeGaNi2H (PBE, relaxed)" e_tot_ev_per_atom=-5.271 pbc="T T T"
Ce -2.392 -1.292 0.193
Ce -1.638 -6.324 -1.172
Ga -3.251 -4.700 0.786
Ga -0.779 -2.916 -1.765
Ni -3.052 -3.748 -1.463
Ni -2.527 -1.585 -2.824
Ni -1.503 -6.031 1.845
Ni -0.978 -3.868 0.484
H -0.666 -2.741 1.726
H 0.000 0.000 0.000

***

18
Lattice="6.779 0.145 0.103 3.473 5.823 0.103 3.473 2.022 5.462" Properties=species:S:1:pos:R:3 comment="Ce2GaNi12H3 (PBE, relaxed)" e_tot_ev_per_atom=-5.378 pbc="T T T"
Ni 10.360 4.498 4.814
Ni 10.360 6.030 2.654
Ni 3.366 3.491 0.853
Ni 4.698 1.202 0.853
Ni 7.741 2.133 4.027
Ni 5.984 3.483 4.985
Ni 5.984 5.857 1.639
Ni 5.678 5.678 4.027
Ni 9.028 6.787 4.814
Ni 7.741 4.506 0.681
Ni 8.048 2.311 1.639
Ni 3.366 1.959 3.013
H 1.737 1.011 2.731
H 3.389 0.072 0.051
H 1.737 2.911 0.051
Ga 0.000 0.000 0.000
Ce 5.486 3.193 2.265
Ce 8.240 4.796 3.402

***

10
Lattice="-1.530 0.147 3.693 -1.556 -5.009 -2.612 6.073 -3.265 2.645" Properties=species:S:1:pos:R:3 comment="CeGaHPd2 (PBE, relaxed)" e_tot_ev_per_atom=-5.230 pbc="T T T"
H 3.036 -1.633 1.323
H 0.000 0.000 0.000
Ce 2.527 -6.762 1.315
Ce 0.461 -1.366 2.411
Pd 0.360 -4.767 2.504
Pd -2.032 -3.481 1.463
Pd 2.628 -3.361 1.222
Pd 5.019 -4.647 2.264
Ga 2.766 -4.554 3.493
Ga 0.222 -3.574 0.234

***

10
Lattice="4.082 0.000 0.000 -2.041 5.602 0.000 0.000 0.000 6.789" Properties=species:S:1:pos:R:3 comment="CeGaHRh2 (PBE, relaxed)" e_tot_ev_per_atom=-6.071 pbc="T T T"
Rh 2.041 3.858 0.226
Rh 0.000 1.745 3.621
Rh 0.000 1.745 6.563
Rh 2.041 3.858 3.168
Ga 0.000 3.470 1.697
Ga 2.041 2.133 5.092
Ce 0.000 4.599 5.092
Ce 2.041 1.004 1.697
H 0.000 0.000 3.395
H 0.000 0.000 0.000

***

14
Lattice="-4.406 -1.729 3.399 0.953 -1.193 5.624 -2.012 3.284 4.057" Properties=species:S:1:pos:R:3 comment="CeGaH8Rh4 (PBE, relaxed)" e_tot_ev_per_atom=-4.817 pbc="T T T"
H -1.444 0.472 3.364
H -3.452 -0.347 5.339
H -3.070 -0.825 7.594
H -4.049 0.023 9.748
H -1.303 -0.132 6.231
H -1.574 0.759 8.336
H -4.893 0.427 6.958
H -2.164 1.498 4.853
Rh -0.979 1.557 1.983
Rh -2.389 -1.521 6.120
Rh -3.214 0.680 3.708
Rh -0.495 0.951 4.837
Ce -3.024 1.623 6.895
Ga -3.477 -2.807 9.051